Record 1
# Mg2CrGaW

A relaxed structure of Mg2CrGaW (PBE, Alexandria via LeMat-Bulk).

abc: 4.608 4.608 4.812
angles: 90.00 90.00 90.00
Sites, in units of the cell vectors:
1 Mg 0.000 0.500 0.000
2 Mg 0.500 0.000 0.000
3 Cr 0.000 0.000 0.500
4 Ga 0.500 0.500 0.000
5 W 0.500 0.500 0.500

Computed properties:
Distance to the lowest polymorph of the same formula in eV per formula unit: 0.000

***

Record 2
# UBiTe2O

A relaxed structure of UBiTe2O (PBE, Alexandria via LeMat-Bulk).

abc: 3.946 3.946 19.496
angles: 90.00 90.00 90.00
Sites, in units of the cell vectors:
1 U 0.250 0.250 0.063
2 U 0.750 0.750 0.937
3 Bi 0.250 0.250 0.662
4 Bi 0.750 0.750 0.338
5 Te 0.250 0.250 0.407
6 Te 0.250 0.250 0.850
7 Te 0.750 0.750 0.150
8 Te 0.750 0.750 0.593
9 O 0.250 0.750 0.000
10 O 0.750 0.250 0.000

Computed properties:
Energy relative to the elements, uncorrected in eV/atom: -1.19

***

Record 3
# Ac2UAgSe6

A relaxed structure of Ac2UAgSe6 (PBE, Alexandria via LeMat-Bulk).

abc: 7.694 7.694 7.694
angles: 58.58 58.58 58.58
Sites, in units of the cell vectors:
1 Ac 0.000 0.000 0.000
2 Ac 0.490 0.490 0.490
3 U 0.788 0.788 0.788
4 Ag 0.278 0.278 0.278
5 Se 0.045 0.439 0.645
6 Se 0.144 0.919 0.568
7 Se 0.439 0.645 0.045
8 Se 0.568 0.144 0.919
9 Se 0.645 0.045 0.439
10 Se 0.919 0.568 0.144

Computed properties:
Energy relative to the elements, uncorrected in eV/atom: -1.35

***

Record 4
# CePrMg4

A relaxed structure of CePrMg4 (PBE, Alexandria via LeMat-Bulk).

abc: 6.112 6.112 6.112
angles: 60.00 60.00 60.00
Sites, in units of the cell vectors:
1 Ce 0.000 0.000 0.000
2 Pr 0.250 0.250 0.250
3 Mg 0.125 0.625 0.625
4 Mg 0.625 0.125 0.625
5 Mg 0.625 0.625 0.125
6 Mg 0.625 0.625 0.625

Computed properties:
Distance to the lowest polymorph of the same formula in eV per formula unit: 0.027

***

Record 5
# Rb2PuCl7

A relaxed structure of Rb2PuCl7 (PBE, Alexandria via LeMat-Bulk).

abc: 8.061 8.061 8.061
angles: 60.00 60.00 60.00
Sites, in units of the cell vectors:
1 Rb 0.250 0.250 0.250
2 Rb 0.750 0.750 0.750
3 Pu 0.000 0.000 0.000
4 Cl 0.225 0.225 0.775
5 Cl 0.225 0.775 0.225
6 Cl 0.225 0.775 0.775
7 Cl 0.500 0.500 0.500
8 Cl 0.775 0.225 0.225
9 Cl 0.775 0.225 0.775
10 Cl 0.775 0.775 0.225

Computed properties:
Energy relative to the elements, uncorrected in eV/atom: -1.53

***

Record 6
# RbSiIr2C

A relaxed structure of RbSiIr2C (PBE, Alexandria via LeMat-Bulk).

abc: 4.731 4.731 4.050
angles: 90.00 90.00 90.00
Sites, in units of the cell vectors:
1 Rb 0.000 0.000 0.000
2 Si 0.500 0.500 0.500
3 Ir 0.000 0.500 0.500
4 Ir 0.500 0.000 0.500
5 C 0.500 0.500 0.000

Computed properties:
Energy relative to the elements, uncorrected in eV/atom: 1.52

***

Record 7
# Ba2TaZn

A relaxed structure of Ba2TaZn (PBE, Alexandria via LeMat-Bulk).

abc: 3.571 3.571 33.560
angles: 90.00 90.00 120.00
Sites, in units of the cell vectors:
1 Ba 0.000 0.000 0.248
2 Ba 0.000 0.000 0.752
3 Ba 0.333 0.667 0.418
4 Ba 0.333 0.667 0.915
5 Ba 0.667 0.333 0.085
6 Ba 0.667 0.333 0.582
7 Ta 0.000 0.000 0.500
8 Ta 0.333 0.667 0.167
9 Ta 0.667 0.333 0.833
10 Zn 0.000 0.000 0.000
11 Zn 0.333 0.667 0.667
12 Zn 0.667 0.333 0.333

Computed properties:
VASP energy in eV/cell: -40.5

***

Record 8
# SrLaSeS

A relaxed structure of SrLaSeS (PBE, Alexandria via LeMat-Bulk).

abc: 4.259 4.259 21.347
angles: 90.00 90.00 120.00
Sites, in units of the cell vectors:
1 Sr 0.000 0.000 0.000
2 Sr 0.333 0.667 0.667
3 Sr 0.667 0.333 0.333
4 La 0.000 0.000 0.508
5 La 0.333 0.667 0.174
6 La 0.667 0.333 0.841
7 Se 0.000 0.000 0.756
8 Se 0.333 0.667 0.422
9 Se 0.667 0.333 0.089
10 S 0.000 0.000 0.252
11 S 0.333 0.667 0.919
12 S 0.667 0.333 0.586

Computed properties:
Energy relative to the elements, uncorrected in eV/atom: -2.05

***

Record 9
# TaBe2W

A relaxed structure of TaBe2W (PBE, Alexandria via LeMat-Bulk).

abc: 3.288 3.288 5.090
angles: 90.00 90.00 90.00
Sites, in units of the cell vectors:
1 Ta 0.000 0.000 0.000
2 Be 0.000 0.000 0.491
3 Be 0.500 0.500 0.773
4 W 0.500 0.500 0.275

Computed properties:
Distance to the lowest polymorph of the same formula in eV per formula unit: 2.283

***

Record 10
# Nd2GaSi2Ir5

A relaxed structure of Nd2GaSi2Ir5 (PBE, Alexandria via LeMat-Bulk).

abc: 9.854 9.854 3.549
angles: 90.00 90.00 90.00
Sites, in units of the cell vectors:
1 Nd 0.176 0.324 0.000
2 Nd 0.324 0.824 0.000
3 Nd 0.676 0.176 0.000
4 Nd 0.824 0.676 0.000
5 Ga 0.000 0.000 0.000
6 Ga 0.500 0.500 0.000
7 Si 0.123 0.623 0.000
8 Si 0.377 0.123 0.000
9 Si 0.623 0.877 0.000
10 Si 0.877 0.377 0.000
11 Ir 0.000 0.500 0.500
12 Ir 0.066 0.787 0.500
13 Ir 0.213 0.066 0.500
14 Ir 0.287 0.566 0.500
15 Ir 0.434 0.287 0.500
16 Ir 0.500 0.000 0.500
17 Ir 0.566 0.713 0.500
18 Ir 0.713 0.434 0.500
19 Ir 0.787 0.934 0.500
20 Ir 0.934 0.213 0.500

Computed properties:
Energy relative to the elements, uncorrected in eV/atom: -0.69

***

Record 11
# HfSn2Ir

A relaxed structure of HfSn2Ir (PBE, Alexandria via LeMat-Bulk).

abc: 6.824 6.824 6.824
angles: 90.00 90.00 90.00
Sites, in units of the cell vectors:
1 Hf 0.000 0.000 0.000
2 Hf 0.000 0.500 0.500
3 Hf 0.500 0.000 0.500
4 Hf 0.500 0.500 0.000
5 Sn 0.250 0.250 0.250
6 Sn 0.250 0.250 0.750
7 Sn 0.250 0.750 0.250
8 Sn 0.250 0.750 0.750
9 Sn 0.750 0.250 0.250
10 Sn 0.750 0.250 0.750
11 Sn 0.750 0.750 0.250
12 Sn 0.750 0.750 0.750
13 Ir 0.000 0.000 0.500
14 Ir 0.000 0.500 0.000
15 Ir 0.500 0.000 0.000
16 Ir 0.500 0.500 0.500

Computed properties:
VASP energy in eV/cell: -106.7

***

Record 12
# CsCoSbCl6

A relaxed structure of CsCoSbCl6 (PBE, Alexandria via LeMat-Bulk).

abc: 6.752 6.752 7.801
angles: 90.12 90.12 119.95
Sites, in units of the cell vectors:
1 Cs 0.000 0.000 0.000
2 Co 0.333 0.667 0.500
3 Sb 0.667 0.333 0.500
4 Cl 0.024 0.638 0.315
5 Cl 0.026 0.388 0.686
6 Cl 0.362 0.976 0.685
7 Cl 0.368 0.391 0.313
8 Cl 0.609 0.632 0.687
9 Cl 0.612 0.974 0.314

Computed properties:
Energy relative to the elements, uncorrected in eV/atom: -1.02

***

Record 13
# ZnAgW

A relaxed structure of ZnAgW (PBE, Alexandria via LeMat-Bulk).

abc: 4.538 4.538 2.682
angles: 90.00 90.00 120.00
Sites, in units of the cell vectors:
1 Zn 0.000 0.000 0.000
2 Ag 0.333 0.667 0.000
3 W 0.667 0.333 0.500

Computed properties:
Distance to the lowest polymorph of the same formula in eV per formula unit: 0.953

***

Record 14
# Tb5Y3Tm2

A relaxed structure of Tb5Y3Tm2 (PBE, Alexandria via LeMat-Bulk).

abc: 9.467 9.467 9.513
angles: 108.41 108.41 111.37
Sites, in units of the cell vectors:
1 Tb 0.031 0.969 0.750
2 Tb 0.149 0.368 0.764
3 Tb 0.270 0.730 0.250
4 Tb 0.368 0.149 0.264
5 Tb 0.468 0.532 0.250
6 Tb 0.532 0.468 0.750
7 Tb 0.632 0.851 0.736
8 Tb 0.730 0.270 0.750
9 Tb 0.851 0.632 0.236
10 Tb 0.969 0.031 0.250
11 Y 0.024 0.265 0.045
12 Y 0.233 0.767 0.750
13 Y 0.265 0.024 0.545
14 Y 0.735 0.976 0.455
15 Y 0.767 0.233 0.250
16 Y 0.976 0.735 0.955
17 Tm 0.230 0.464 0.451
18 Tm 0.464 0.230 0.951
19 Tm 0.536 0.770 0.049
20 Tm 0.770 0.536 0.549

Computed properties:
VASP energy in eV/cell: -98.9

***

Record 15
# SiBiRu3

A relaxed structure of SiBiRu3 (PBE, Alexandria via LeMat-Bulk).

abc: 4.985 4.985 4.985
angles: 90.00 90.00 90.00
Sites, in units of the cell vectors:
1 Si 0.000 0.000 0.000
2 Bi 0.500 0.500 0.500
3 Ru 0.000 0.500 0.500
4 Ru 0.500 0.000 0.500
5 Ru 0.500 0.500 0.000

Computed properties:
Energy relative to the elements, uncorrected in eV/atom: 2.20
Distance to the lowest polymorph of the same formula in eV per formula unit: 8.315

***

Record 16
# LiTlAu2

A relaxed structure of LiTlAu2 (PBE, Alexandria via LeMat-Bulk).

abc: 4.378 4.378 4.039
angles: 90.00 90.00 90.00
Sites, in units of the cell vectors:
1 Li 0.000 0.000 0.000
2 Tl 0.500 0.500 0.000
3 Au 0.000 0.500 0.500
4 Au 0.500 0.000 0.500

Computed properties:
VASP energy in eV/cell: -11.8

***

Record 17
# BeMoPt2

A relaxed structure of BeMoPt2 (PBE, Alexandria via LeMat-Bulk).

abc: 5.498 7.581 2.751
angles: 90.00 90.00 90.00
Sites, in units of the cell vectors:
1 Be 0.000 0.000 0.000
2 Be 0.500 0.500 0.000
3 Mo 0.000 0.500 0.000
4 Mo 0.500 0.000 0.000
5 Pt 0.250 0.250 0.500
6 Pt 0.250 0.750 0.500
7 Pt 0.750 0.250 0.500
8 Pt 0.750 0.750 0.500

Computed properties:
VASP energy in eV/cell: -55.0

***

Record 18
# La2PmDy3

A relaxed structure of La2PmDy3 (PBE, Alexandria via LeMat-Bulk).

abc: 8.989 8.989 10.330
angles: 122.30 122.30 36.55
Sites, in units of the cell vectors:
1 La 0.015 0.015 0.368
2 La 0.277 0.277 0.635
3 La 0.723 0.723 0.365
4 La 0.985 0.985 0.632
5 Pm 0.363 0.363 0.351
6 Pm 0.637 0.637 0.649
7 Dy 0.110 0.110 0.151
8 Dy 0.203 0.203 0.920
9 Dy 0.447 0.447 0.097
10 Dy 0.553 0.553 0.903
11 Dy 0.797 0.797 0.080
12 Dy 0.890 0.890 0.849

Computed properties:
Distance to the lowest polymorph of the same formula in eV per formula unit: 0.000

***

Record 19
# Tb2ZnHg2

A relaxed structure of Tb2ZnHg2 (PBE, Alexandria via LeMat-Bulk).

abc: 5.952 5.952 10.907
angles: 113.54 113.54 44.79
Sites, in units of the cell vectors:
1 Tb 0.026 0.026 0.344
2 Tb 0.183 0.183 0.103
3 Tb 0.817 0.817 0.897
4 Tb 0.974 0.974 0.656
5 Zn 0.279 0.279 0.665
6 Zn 0.721 0.721 0.335
7 Hg 0.354 0.354 0.424
8 Hg 0.467 0.467 0.121
9 Hg 0.533 0.533 0.879
10 Hg 0.646 0.646 0.576

Computed properties:
Distance to the lowest polymorph of the same formula in eV per formula unit: 0.000

***

Record 20
# ScBe2Fe

A relaxed structure of ScBe2Fe (PBE, Alexandria via LeMat-Bulk).

abc: 3.357 2.981 9.652
angles: 90.00 90.00 90.00
Sites, in units of the cell vectors:
1 Sc 0.000 0.000 0.000
2 Sc 0.000 0.500 0.500
3 Be 0.000 0.000 0.745
4 Be 0.000 0.500 0.245
5 Be 0.500 0.000 0.633
6 Be 0.500 0.500 0.133
7 Fe 0.500 0.000 0.311
8 Fe 0.500 0.500 0.811

Computed properties:
Distance to the lowest polymorph of the same formula in eV per formula unit: 0.415